# 1
The following is a DFT calculation (PBE) of a geometry-optimized Ti3PdN structure.

Results
Energy relative to the elements, uncorrected   -0.57 eV/atom
Space group   Amm2
Calculated volume   77.0 Å³/cell

Cell lengths 3.0034, 5.1908, 5.1908 Å; angles 107.86, 90.00, 90.00 degrees
With the nearest neighbours (Å) after each atom.
Atoms (fractional coordinates):
Ti (0.5000, 0.1672, 0.3636)  1 N 1.89
Ti (0.0000, 0.1628, 0.8372)  2 N 1.94
Ti (0.5000, 0.6364, 0.8328)  1 N 1.89
N (0.5000, 0.0170, 0.9830)  4 Ti 1.89-1.94
Pd (0.0000, 0.6446, 0.3554)  10 Ti 2.91-3.09, 2 Pd 3.00

---

# 2
The following is a DFT calculation (PBE) of a geometry-optimized Ti3PdN structure.

Results
Energy relative to the elements, uncorrected   -0.95 eV/atom
Space group   C2/m
Calculated volume   138.9 Å³/cell

Cell lengths 2.9526, 5.1039, 9.3742 Å; angles 84.93, 99.08, 90.01 degrees
With the nearest neighbours (Å) after each atom.
Atoms (fractional coordinates):
Ti (0.5316, 0.0785, 0.0839)  3 N 2.07-2.08
Ti (0.2904, 0.4683, 0.6015)  6 Pd 2.73-3.02, 6 Ti 2.83-2.99
Ti (0.4005, 0.8217, 0.8206)  6 Pd 2.73-3.02, 6 Ti 2.83-2.99
Ti (0.1593, 0.2134, 0.3382)  3 N 2.07-2.08
Ti (0.6605, 0.7049, 0.3408)  3 N 2.07-2.08
Ti (0.0304, 0.5869, 0.0814)  3 N 2.07
Pd (0.7809, 0.9873, 0.5822)  9 Ti 2.73-3.02, 3 Pd 2.95-3.00
Pd (0.9100, 0.3028, 0.8400)  9 Ti 2.73-3.02, 3 Pd 2.95-3.00
N (0.0967, 0.8944, 0.2136)  6 Ti 2.07-2.08
N (0.5942, 0.3975, 0.2085)  6 Ti 2.07-2.08

---

# 3
The following is a DFT calculation (PBE) of a geometry-optimized Ti3PdN structure.

Results
Energy relative to the elements, uncorrected   -0.13 eV/atom
Space group   R3m
Calculated volume   82.1 Å³/cell

Cell lengths 4.9218, 4.9218, 4.9218 Å; angles 111.99, 111.99, 111.99 degrees
With the nearest neighbours (Å) after each atom.
Atoms (fractional coordinates):
Ti (0.2252, 0.6320, 0.6320)  1 N 1.94
Ti (0.6320, 0.6320, 0.2252)  1 N 1.94
Ti (0.6320, 0.2252, 0.6320)  1 N 1.94
Pd (0.9537, 0.9537, 0.9537)  2 N 2.04-2.23
N (0.4320, 0.4320, 0.4320)  3 Ti 1.94, 1 Pd 2.04

---

# 4
The following is a DFT calculation (PBE) of a geometry-optimized Ti6Pd3N structure.

Results
Energy relative to the elements, uncorrected   -0.59 eV/atom
Space group   P2_1/c
Calculated volume   311.2 Å³/cell

Cell lengths 5.3703, 7.3145, 7.9272 Å; angles 90.00, 88.00, 90.00 degrees
With the nearest neighbours (Å) after each atom.
Atoms (fractional coordinates):
Ti (0.1644, 0.2258, 0.1085)  1 N 2.07
Ti (0.3356, 0.7258, 0.3915)  1 N 2.07
Ti (0.6669, 0.4063, 0.2776)  1 N 2.07
Ti (0.6644, 0.2742, 0.6085)  1 N 2.07
Ti (0.8356, 0.7742, 0.8915)  1 N 2.07
Ti (0.6672, 0.1421, 0.9699)  1 N 2.09
Ti (0.1669, 0.0937, 0.7776)  1 N 2.07
Ti (0.8331, 0.9063, 0.2224)  1 N 2.07
Ti (0.8328, 0.6421, 0.5301)  1 N 2.09
Ti (0.1672, 0.3579, 0.4699)  1 N 2.09
Ti (0.3328, 0.8579, 0.0301)  1 N 2.09
Ti (0.3331, 0.5937, 0.7224)  1 N 2.07
Pd (0.0616, 0.5761, 0.1732)  5 Ti 2.56-2.75, 1 Pd 2.74
Pd (0.0000, 0.0000, 0.5000)  4 Ti 2.50-2.78, 2 Pd 2.74
Pd (0.9384, 0.4239, 0.8268)  5 Ti 2.56-2.75, 1 Pd 2.74
Pd (0.5616, 0.9239, 0.6732)  5 Ti 2.56-2.75, 1 Pd 2.74
Pd (0.5000, 0.5000, 0.0000)  4 Ti 2.50-2.78, 2 Pd 2.74
Pd (0.4384, 0.0761, 0.3268)  5 Ti 2.56-2.75, 1 Pd 2.74
N (0.5000, 0.5000, 0.5000)  6 Ti 2.07-2.09
N (0.0000, 0.0000, 0.0000)  6 Ti 2.07-2.09

---

# 5
The following is a DFT calculation (PBE) of a geometry-optimized Ti3PdN structure.

Results
Energy relative to the elements, uncorrected   0.01 eV/atom
Space group   P4mm
Calculated volume   96.7 Å³/cell

Cell lengths 3.9154, 3.9154, 6.3081 Å; angles 90.00, 90.00, 90.00 degrees
With the nearest neighbours (Å) after each atom.
Atoms (fractional coordinates):
Ti (0.0000, 0.0000, 0.7499)  1 Pd 2.51
Ti (0.5000, 0.0000, 0.4286)  2 N 2.02
Ti (0.0000, 0.5000, 0.4286)  2 N 2.02
N (0.5000, 0.5000, 0.5094)  4 Ti 2.02
Pd (0.0000, 0.0000, 0.1471)  5 Ti 2.51-2.64

---

# 6
The following is a DFT calculation (PBE) of a geometry-optimized Ti3PdN structure.

Results
Energy relative to the elements, uncorrected   -0.95 eV/atom
Space group   Cm
Calculated volume   139.3 Å³/cell

Cell lengths 3.0044, 5.8142, 10.2312 Å; angles 55.22, 89.98, 104.97 degrees
With the nearest neighbours (Å) after each atom.
Atoms (fractional coordinates):
Pd (0.8733, 0.1530, 0.5584)  7 Ti 2.65-2.84
Pd (0.5558, 0.5160, 0.6426)  7 Ti 2.66-2.88
Ti (0.3511, 0.1082, 0.0828)  4 N 2.14-2.15
Ti (0.0673, 0.5401, 0.1232)  3 N 2.08-2.09
Ti (0.6103, 0.6271, 0.3354)  2 N 2.08-2.14
Ti (0.3048, 0.0162, 0.3889)  2 N 2.02
Ti (0.8157, 0.0360, 0.8504)  1 N 1.98
Ti (0.1254, 0.6555, 0.8027)  4 Pd 2.66-2.84, 3 Ti 2.88-2.94
N (0.7121, 0.8297, 0.0876)  6 Ti 1.98-2.15
N (0.8391, 0.0845, 0.2386)  6 Ti 2.02-2.14

---

# 7
The following is a DFT calculation (PBE) of a geometry-optimized Ti3PdN structure.

Results
Energy relative to the elements, uncorrected   -0.59 eV/atom
Space group   P6_3/mmc
Calculated volume   158.4 Å³/cell

Cell lengths 3.6779, 3.6779, 13.5180 Å; angles 90.00, 90.00, 120.00 degrees
With the nearest neighbours (Å) after each atom.
Atoms (fractional coordinates):
Pd (0.0000, 0.0000, 0.0000)  6 Ti 2.55
Pd (0.0000, 0.0000, 0.5000)  6 Ti 2.55
N (0.3333, 0.6667, 0.7500)  5 Ti 1.97-2.12
N (0.6667, 0.3333, 0.2500)  5 Ti 1.97-2.12
Ti (0.3333, 0.6667, 0.6045)  1 N 1.97
Ti (0.6667, 0.3333, 0.3955)  1 N 1.97
Ti (0.0000, 0.0000, 0.7500)  3 N 2.12
Ti (0.3333, 0.6667, 0.8955)  1 N 1.97
Ti (0.0000, 0.0000, 0.2500)  3 N 2.12
Ti (0.6667, 0.3333, 0.1045)  1 N 1.97

---

# 8
The following is a DFT calculation (PBE) of a geometry-optimized Ti2PdN structure.

Results
Energy relative to the elements, uncorrected   -1.13 eV/atom
Space group   R3m
Calculated volume   51.7 Å³/cell

Cell lengths 2.9839, 2.9839, 6.9180 Å; angles 77.55, 77.55, 60.00 degrees
With the nearest neighbours (Å) after each atom.
Atoms (fractional coordinates):
Ti (0.0578, 0.0578, 0.8267)  3 N 2.07
Ti (0.2751, 0.2751, 0.1748)  3 N 2.09
N (0.6676, 0.6676, 0.9972)  6 Ti 2.07-2.09
Pd (0.4996, 0.4996, 0.5012)  6 Ti 2.78, 6 Pd 2.98

---

# 9
The following is a DFT calculation (PBE) of a geometry-optimized TiPdN2 structure.

Results
Energy above the lowest structure with this stoichiometry   688.3 meV per atom
Energy relative to the elements, uncorrected   0.32 eV/atom
Space group   Fm-3m
Calculated volume   40.0 Å³/cell

Cell lengths 3.8401, 3.8401, 3.8401 Å; angles 60.00, 60.00, 60.00 degrees
With the nearest neighbours (Å) after each atom.
Atoms (fractional coordinates):
Ti (0.0000, 0.0000, 0.0000)  8 N 2.35
N (0.2500, 0.2500, 0.2500)  4 Pd 2.35, 4 Ti 2.35
N (0.7500, 0.7500, 0.7500)  4 Ti 2.35, 4 Pd 2.35
Pd (0.5000, 0.5000, 0.5000)  8 N 2.35

---

# 10
The following is a DFT calculation (PBE) of a geometry-optimized TiPd3N structure.

Results
Energy above the lowest structure with this stoichiometry   0.0 meV per atom
Energy relative to the elements, uncorrected   0.17 eV/atom
Space group   Pm-3m
Calculated volume   72.4 Å³/cell

Cell lengths 4.1684, 4.1684, 4.1684 Å; angles 90.00, 90.00, 90.00 degrees
With the nearest neighbours (Å) after each atom.
Atoms (fractional coordinates):
Pd (0.5000, 0.0000, 0.0000)  2 N 2.08
Pd (0.0000, 0.5000, 0.0000)  2 N 2.08
Pd (0.0000, 0.0000, 0.5000)  2 N 2.08
Ti (0.5000, 0.5000, 0.5000)  12 Pd 2.95
N (0.0000, 0.0000, 0.0000)  6 Pd 2.08

---

# 11
The following is a DFT calculation (PBE) of a geometry-optimized Ti3Pd2N structure.

Results
Energy relative to the elements, uncorrected   -0.72 eV/atom
Space group   C2/c
Calculated volume   174.0 Å³/cell

Cell lengths 5.2259, 6.0728, 6.0728 Å; angles 109.56, 99.48, 99.48 degrees
With the nearest neighbours (Å) after each atom.
Atoms (fractional coordinates):
Ti (0.9916, 0.7379, 0.5911)  2 N 2.01-2.12
Ti (0.5000, 0.0000, 0.5000)  2 N 2.49, 4 Pd 2.53-2.57
Ti (0.0000, 0.5000, 0.0000)  2 N 2.49, 4 Pd 2.53-2.57
Ti (0.5084, 0.4089, 0.2621)  2 N 2.01-2.12
Ti (0.4916, 0.5911, 0.7379)  2 N 2.01-2.12
Ti (0.0084, 0.2621, 0.4089)  2 N 2.01-2.12
Pd (0.2500, 0.9285, 0.0715)  4 Ti 2.57-2.76, 1 Pd 2.64
Pd (0.2500, 0.1942, 0.8058)  6 Ti 2.53-2.72, 1 Pd 2.64
Pd (0.7500, 0.8058, 0.1942)  6 Ti 2.53-2.72, 1 Pd 2.64
Pd (0.7500, 0.0715, 0.9285)  4 Ti 2.57-2.76, 1 Pd 2.64
N (0.2500, 0.5828, 0.4172)  4 Ti 2.01-2.12
N (0.7500, 0.4172, 0.5828)  4 Ti 2.01-2.12

---

# 12
The following is a DFT calculation (PBE) of a geometry-optimized Ti3PdN structure.

Results
Energy relative to the elements, uncorrected   -0.21 eV/atom
Space group   Amm2
Calculated volume   106.3 Å³/cell

Cell lengths 2.8453, 6.8470, 6.8470 Å; angles 127.16, 90.00, 90.00 degrees
With the nearest neighbours (Å) after each atom.
Atoms (fractional coordinates):
Ti (0.5000, 0.6515, 0.7996)  2 N 1.98
Ti (0.5000, 0.2004, 0.3485)  2 N 1.98
Ti (0.0000, 0.2596, 0.7404)  1 N 2.19
N (0.0000, 0.4383, 0.5617)  5 Ti 1.98-2.19
Pd (0.5000, 0.0783, 0.9217)  4 Ti 2.51-2.64